! NdMn2 | Alexandria | GGA-PBE | relaxed; values from VASP
&SYSTEM
  ibrav = 0, nat = 6, ntyp = 2
/
ATOMIC_SPECIES
Nd 144.24 Nd.upf
Mn 54.94 Mn.upf
ATOMIC_POSITIONS angstrom
Nd 0.932 0.932 0.932
Nd 6.522 6.522 6.522
Mn 3.727 1.863 1.863
Mn 1.863 3.727 1.863
Mn 1.863 1.863 3.727
Mn 3.727 3.727 3.727
CELL_PARAMETERS angstrom
0.000 3.727 3.727
3.727 0.000 3.727
3.727 3.727 0.000
! Crystal system: cubic
! Electronic total energy (eV for the cell shown): -44.462
! Formation enthalpy at 0 K (eV/atom): 0.29
! M_tot (μB/f.u.): 3.8